No. 1
This record from Alexandria via LeMat-Bulk describes crystalline Nd2GaSnPt6 at its relaxed geometry. The functional is PBE-GGA.

a = 9.7856 Å, b = 5.6545 Å, c = 8.8749 Å
α = 90.00°, β = 111.44°, γ = 90.00°
Last column: nearest neighbours and their distance in Å.
Space group C2/m (No. 12)
One atom of each set of equivalent atoms:
Nd  0.2024  0.0000  0.1082 [4 per cell]  9 Pt 3.01-3.28
Ga  0.0000  0.5000  0.0000 [2 per cell]  6 Pt 2.54
Sn  0.0000  0.0000  0.5000 [2 per cell]  6 Pt 2.72-2.73
Pt  0.0052  0.2501  0.7643 [8 per cell]  1 Ga 2.54, 1 Sn 2.72, 4 Pt 2.82-2.83
Pt  0.2450  0.5000  0.2358 [4 per cell]  1 Ga 2.54, 1 Sn 2.73, 4 Pt 2.82-2.83

Properties
As for the uncorrected energy: -0.2224 hartree per atom.

No. 2
This record from Alexandria via LeMat-Bulk describes crystalline LaDy2Hg8 at its relaxed geometry. The functional is PBE-GGA.

a = 5.1696 Å, b = 7.3167 Å, c = 15.0514 Å
α = 90.00°, β = 90.00°, γ = 90.00°
Last column: nearest neighbours and their distance in Å.
Space group Immm (No. 71)
One atom of each set of equivalent atoms:
La  0.0000  0.0000  0.0000 [2 per cell]  12 Hg 3.14-3.50
Dy  0.0000  0.0000  0.3132 [4 per cell]  8 Hg 3.06-3.19
Hg  0.0000  0.2051  0.5000 [4 per cell]  3 Hg 3.00-3.20, 2 Dy 3.19
Hg  0.0000  0.2846  0.1565 [8 per cell]  3 Dy 3.06-3.15, 1 La 3.14, 4 Hg 3.15-3.32
Hg  0.0000  0.5000  0.3432 [4 per cell]  8 Hg 3.20-3.32, 2 Dy 3.50, 2 La 3.50

Properties
As for the uncorrected energy: -0.0673 hartree per atom.

No. 3
This record from Alexandria via LeMat-Bulk describes crystalline Ca2YGa3Pt4 at its relaxed geometry. The functional is PBE-GGA.

a = 4.2177 Å, b = 4.2177 Å, c = 11.5465 Å
α = 90.00°, β = 90.00°, γ = 90.00°
Last column: nearest neighbours and their distance in Å.
Space group P-4m2 (No. 115)
One atom of each set of equivalent atoms:
Ca  0.0000  0.5000  0.2297 [2 per cell]  4 Ga 3.21, 8 Pt 3.25-3.39
Y  0.0000  0.0000  0.5000 [1 per cell]  4 Pt 2.79, 4 Ga 2.98
Ga  0.0000  0.5000  0.8737 [2 per cell]  5 Pt 2.49-2.56
Ga  0.5000  0.5000  0.5000 [1 per cell]  4 Pt 2.79, 4 Y 2.98
Pt  0.0000  0.0000  0.0000 [1 per cell]  4 Ga 2.56
Pt  0.0000  0.5000  0.6576 [2 per cell]  3 Ga 2.49-2.79, 2 Y 2.79
Pt  0.5000  0.5000  0.0000 [1 per cell]  4 Ga 2.56

Properties
As for the uncorrected energy: -0.1940 hartree per atom.

No. 4
This record from Alexandria via LeMat-Bulk describes crystalline Nd2TmZr at its relaxed geometry. The functional is PBE-GGA.

a = 3.5017 Å, b = 3.5017 Å, c = 34.1447 Å
α = 90.00°, β = 90.00°, γ = 120.00°
Last column: nearest neighbours and their distance in Å.
Space group R3m (No. 160, hexagonal axes)
One atom of each set of equivalent atoms:
Nd  0.0000  0.0000  0.0000 [3 per cell]  3 Zr 3.37, 6 Nd 3.50, 3 Tm 3.58
Nd  0.0000  0.0000  0.1746 [3 per cell]  3 Zr 3.40, 6 Nd 3.50, 3 Tm 3.62
Tm  0.0000  0.0000  0.4199 [3 per cell]  6 Tm 3.50, 6 Nd 3.58-3.62
Zr  0.0000  0.0000  0.5879 [3 per cell]  6 Nd 3.37-3.40, 6 Zr 3.50

Properties
For the energy relative to the lowest polymorph listed for this composition, the calculation gives 8 meV/atom. As for the uncorrected energy: -0.2025 hartree per atom.

No. 5
This record from Alexandria via LeMat-Bulk describes crystalline Sr12As3O5 at its relaxed geometry. The functional is PBE-GGA.

a = 16.6072 Å, b = 16.6072 Å, c = 16.6072 Å
α = 90.00°, β = 90.00°, γ = 90.00°
Last column: nearest neighbours and their distance in Å.
Space group Ia-3d (No. 230)
One atom of each set of equivalent atoms:
Sr  0.0332  0.0506  0.6520 [96 per cell]  1 O 2.38
As  0.0000  0.2500  0.1250 [24 per cell]  8 Sr 3.20-3.39
O  0.0000  0.0000  0.0000 [16 per cell]  6 Sr 2.72
O  0.0000  0.2500  0.3750 [24 per cell]  4 Sr 2.38

Properties
As for the uncorrected energy: -0.1683 hartree per atom. For the raw formation energy, the calculation gives -1635 meV per atom.

No. 6
This record from Alexandria via LeMat-Bulk describes crystalline MnAgW2 at its relaxed geometry. The functional is PBE-GGA.

a = 2.7083 Å, b = 4.1501 Å, c = 5.5175 Å
α = 90.00°, β = 98.56°, γ = 90.00°
Last column: nearest neighbours and their distance in Å.
Space group P2/m (No. 10)
One atom of each set of equivalent atoms:
Mn  0.0000  0.0000  0.0000 [1 per cell]  8 W 2.63-2.94, 2 Mn 2.71, 2 Ag 2.76
Ag  0.0000  0.0000  0.5000 [1 per cell]  2 Ag 2.71, 2 Mn 2.76, 8 W 2.85-2.93
W  0.4511  0.5000  0.2272 [2 per cell]  3 W 2.56-2.71, 2 Mn 2.63, 2 Ag 2.85

Properties
For the energy relative to the lowest polymorph listed for this composition, the calculation gives 158 meV/atom. As for the uncorrected energy: -0.3307 hartree per atom.

No. 7
This record from Alexandria via LeMat-Bulk describes crystalline SnRuPt3 at its relaxed geometry. The functional is PBE-GGA.

a = 4.8322 Å, b = 4.8322 Å, c = 4.8322 Å
α = 90.00°, β = 90.00°, γ = 90.00°
Last column: nearest neighbours and their distance in Å.
Space group Pm-3m (No. 221)
One atom of each set of equivalent atoms:
Sn  0.0000  0.0000  0.0000 [1 per cell]  12 Pt 3.42
Ru  0.5000  0.5000  0.5000 [1 per cell]  6 Pt 2.42
Pt  0.0000  0.5000  0.5000 [3 per cell]  2 Ru 2.42

Properties
For the energy relative to the lowest polymorph listed for this composition, the calculation gives 0 meV/atom. As for the uncorrected energy: -0.1950 hartree per atom.

No. 8
This record from Alexandria via LeMat-Bulk describes crystalline UAg2SbS6 at its relaxed geometry. The functional is PBE-GGA.

a = 6.5334 Å, b = 6.5350 Å, c = 7.2583 Å
α = 89.94°, β = 63.25°, γ = 60.01°
Last column: nearest neighbours and their distance in Å.
Space group P1 (No. 1)
One atom of each set of equivalent atoms:
U  0.0000  0.0000  0.0000 [1 per cell]  6 S 2.57-2.60
Ag  0.3551  0.3219  0.9670 [1 per cell]  6 S 2.65-2.73
Ag  0.3679  0.8160  0.4485 [1 per cell]  6 S 2.63-2.75
Sb  0.9898  0.5050  0.5153 [1 per cell]  6 S 2.64-2.76
S  0.1581  0.7493  0.2368 [1 per cell]  1 U 2.57, 2 Ag 2.63-2.73, 1 Sb 2.76
S  0.1700  0.6016  0.7422 [1 per cell]  1 U 2.60, 1 Sb 2.64, 2 Ag 2.65-2.74
S  0.4864  0.9116  0.7425 [1 per cell]  1 U 2.60, 1 Sb 2.64, 2 Ag 2.65-2.74
S  0.5124  0.0925  0.2367 [1 per cell]  1 U 2.57, 2 Ag 2.63-2.72, 1 Sb 2.76
S  0.8561  0.3942  0.2367 [1 per cell]  1 U 2.57, 2 Ag 2.63-2.72, 1 Sb 2.76
S  0.8582  0.2297  0.7432 [1 per cell]  1 U 2.60, 1 Sb 2.64, 2 Ag 2.65-2.75

Properties
As for the uncorrected energy: -0.1847 hartree per atom. For the raw formation energy, the calculation gives -439 meV per atom.

No. 9
This record from Alexandria via LeMat-Bulk describes crystalline CeErHf2 at its relaxed geometry. The functional is PBE-GGA.

a = 3.8560 Å, b = 3.8560 Å, c = 6.8549 Å
α = 90.00°, β = 90.00°, γ = 90.00°
Last column: nearest neighbours and their distance in Å.
Space group P4/mmm (No. 123)
One atom of each set of equivalent atoms:
Ce  0.0000  0.0000  0.0000 [1 per cell]  8 Hf 3.11, 2 Er 3.43
Er  0.0000  0.0000  0.5000 [1 per cell]  8 Hf 3.34, 2 Ce 3.43
Hf  0.5000  0.5000  0.2189 [2 per cell]  1 Hf 3.00, 4 Ce 3.11, 4 Er 3.34

Properties
For the energy relative to the lowest polymorph listed for this composition, the calculation gives 57 meV/atom. As for the uncorrected energy: -0.2709 hartree per atom.

No. 10
This record from Alexandria via LeMat-Bulk describes crystalline GaSi2I2 at its relaxed geometry. The functional is PBE-GGA.

a = 7.4948 Å, b = 7.4948 Å, c = 4.9668 Å
α = 90.00°, β = 90.00°, γ = 90.00°
Last column: nearest neighbours and their distance in Å.
Space group P4/mbm (No. 127)
One atom of each set of equivalent atoms:
Ga  0.0000  0.0000  0.0000 [2 per cell]  4 Si 2.72
Si  0.1929  0.3071  0.0000 [4 per cell]  2 Ga 2.72, 2 I 2.83
I  0.1797  0.6797  0.5000 [4 per cell]  2 Si 2.83

Properties
For the energy relative to the lowest polymorph listed for this composition, the calculation gives 0 meV/atom. As for the uncorrected energy: -0.1087 hartree per atom. For the raw formation energy, the calculation gives 436 meV per atom.

No. 11
This record from Alexandria via LeMat-Bulk describes crystalline SrBi6Pb5 at its relaxed geometry. The functional is PBE-GGA.

a = 11.3820 Å, b = 15.1183 Å, c = 5.0473 Å
α = 90.00°, β = 116.25°, γ = 90.00°
Last column: nearest neighbours and their distance in Å.
Space group C2/m (No. 12)
One atom of each set of equivalent atoms:
Sr  0.0000  0.0000  0.0000 [2 per cell]  8 Bi 3.60-3.62, 4 Pb 3.64
Bi  0.2451  0.3352  0.7438 [8 per cell]  7 Pb 3.50-3.63, 4 Bi 3.55-3.62, 1 Sr 3.60
Bi  0.2473  0.5000  0.2462 [4 per cell]  4 Bi 3.55, 6 Pb 3.57-3.68, 2 Sr 3.60-3.62
Pb  0.0000  0.1733  0.5000 [4 per cell]  2 Pb 3.42, 8 Bi 3.50-3.68, 2 Sr 3.64
Pb  0.0000  0.3263  0.0000 [4 per cell]  4 Pb 3.42-3.64, 8 Bi 3.55-3.64
Pb  0.0000  0.5000  0.5000 [2 per cell]  8 Bi 3.53-3.57, 4 Pb 3.64

Properties
As for the uncorrected energy: -0.1368 hartree per atom.

No. 12
This record from Alexandria via LeMat-Bulk describes crystalline La3Al2Cu6 at its relaxed geometry. The functional is PBE-GGA.

a = 9.4958 Å, b = 9.4958 Å, c = 9.4958 Å
α = 90.00°, β = 90.00°, γ = 90.00°
Last column: nearest neighbours and their distance in Å.
Space group Im-3m (No. 229)
One atom of each set of equivalent atoms:
La  0.0000  0.0000  0.2866 [12 per cell]  8 Cu 3.08-3.13, 4 Al 3.38
Al  0.2500  0.2500  0.2500 [8 per cell]  6 Cu 2.59
Cu  0.0000  0.3272  0.3272 [24 per cell]  2 Al 2.59, 4 Cu 2.74

Properties
As for the uncorrected energy: -0.1656 hartree per atom.

Which of these has the lowest uncorrected energy? MnAgW2

Among the records above, which one has the lowest uncorrected energy? MnAgW2